No. 1
An optimized crystal structure of DyTlBi2O6, computed with GGA-PBE.

Values from the calculation:
Symmetry ... R3
E_tot ... -60.95 eV/f.u.
Fermi-level density of states ... 0.00 states/eV/f.u.
Raw formation energy ... -1647 meV/atom

Cell: 6.0333 6.0333 6.1738 Å, 60.75 60.75 59.99°
Sites, in units of the cell vectors:
O 0.1223 0.4490 0.7451
O 0.1760 0.9477 0.2484
O 0.4490 0.6837 0.7451
O 0.6837 0.1222 0.7452
O 0.6279 0.1760 0.2484
O 0.9478 0.6280 0.2483
Tl 0.3043 0.3043 0.0870
Dy 0.8076 0.8076 0.5771
Bi 0.5196 0.5196 0.4412
Bi 0.0235 0.0235 0.9295

---

No. 2
An optimized crystal structure of ZrNiAu, computed with GGA-PBE.

Values from the calculation:
Calculated formation energy ... -0.261 eV/atom
Symmetry ... P1
E_tot ... -18.39 eV/f.u.
Fermi-level density of states ... 2.11 states/eV/f.u.

Cell: 6.1861 6.2872 6.8480 Å, 66.02 66.87 93.49°
Sites, in units of the cell vectors:
Zr 0.4346 0.8527 0.6171
Zr 0.1549 0.2580 0.8116
Zr 0.6466 0.4096 0.2353
Zr 0.0981 0.1400 0.3818
Ni 0.0900 0.6019 0.0328
Ni 0.5839 0.0802 0.1328
Ni 0.8652 0.9114 0.8733
Ni 0.4266 0.4302 0.9513
Au 0.8643 0.8297 0.2761
Au 0.8979 0.6128 0.7113
Au 0.6552 0.2238 0.6812
Au 0.2901 0.6495 0.2955

---

No. 3
An optimized crystal structure of Pu2ThP3, computed with GGA-PBE.

Values from the calculation:
Calculated formation energy ... -1.298 eV/atom
Symmetry ... Immm
E_tot ... -60.10 eV/f.u.
Fermi-level density of states ... 18.02 states/eV/f.u.

Cell: 4.0740 5.7520 7.0142 Å, 114.21 106.88 90.00°
Each line ends with the local moment (μB).
Sites, in units of the cell vectors:
P 0.0000 0.0000 0.0000  -0.10
P 0.3276 0.3276 0.6552  -0.10
P 0.6724 0.6724 0.3448  -0.10
Th 0.0000 0.5000 0.0000  0.05
Pu 0.6654 0.1654 0.3308  5.03
Pu 0.3346 0.8346 0.6692  5.03

---

No. 4
An optimized crystal structure of ScAl2Co, computed with GGA-PBE.

Values from the calculation:
Calculated formation energy ... -0.343 eV/atom
Symmetry ... P4/mmm
E_tot ... -22.30 eV/f.u.
Fermi-level density of states ... 2.79 states/eV/f.u.

Cell: 3.8446 3.8446 4.1889 Å, 90.00 90.00 90.00°
Each line ends with the local moment (μB).
Sites, in units of the cell vectors:
Al 0.0000 0.0000 0.0000  0.00
Al 0.5000 0.5000 0.0000  0.00
Co 0.5000 0.0000 0.5000  0.07
Sc 0.0000 0.5000 0.5000  -0.01

---

No. 5
An optimized crystal structure of CrTc2Br, computed with GGA-PBE.

Values from the calculation:
Symmetry ... Pm
E_tot ... -29.68 eV/f.u.
Fermi-level density of states ... 3.89 states/eV/f.u.
Raw formation energy ... 587 meV/atom

Cell: 3.7265 3.0307 6.6023 Å, 78.72 90.00 90.00°
Each line ends with the local moment (μB).
Sites, in units of the cell vectors:
Tc 0.0000 0.0688 0.9650  0.00
Tc 0.5000 0.4623 0.1490  -0.01
Cr 0.5000 0.6106 0.8157  0.07
Br 0.0000 0.3582 0.5703  0.00

---

No. 6
An optimized crystal structure of Cs3K2Br3Cl2, computed with GGA-PBE.

Values from the calculation:
Symmetry ... I4/mmm
E_tot ... -31.14 eV/f.u.
Fermi-level density of states ... 0.00 states/eV/f.u.
Raw formation energy ... -1767 meV/atom

Cell: 5.4979 5.4979 16.8168 Å, 99.41 99.41 90.00°
Each line ends with the local moment (μB).
Sites, in units of the cell vectors:
Cl 0.2144 0.2144 0.4287  0.00
Cl 0.7856 0.7856 0.5713  0.00
Br 0.0000 0.0000 0.0000  0.03
Br 0.6135 0.6135 0.2270  0.10
Br 0.3865 0.3865 0.7730  0.10
Cs 0.5000 0.5000 0.0000  0.00
Cs 0.1081 0.1081 0.2161  0.00
Cs 0.8919 0.8919 0.7839  0.00
K 0.7500 0.2500 0.5000  0.00
K 0.2500 0.7500 0.5000  0.00